# 1
Here is crystalline Pa2Ge3Rh4Au at its relaxed geometry from Alexandria via LeMat-Bulk. Energies are from GGA-PBE.

a b c (Å): 3.9855 3.9855 11.4664
angles (deg): 90.00 90.00 90.00
Last column: nearest neighbours and their distance in Å.
Sites, in units of the cell vectors:
Pa 0.5000 0.0000 0.2504  4 Rh 2.97, 4 Ge 3.18
Pa 0.0000 0.5000 0.7496  4 Rh 2.97, 4 Ge 3.18
Ge 0.0000 0.0000 0.5000  4 Rh 2.78, 4 Au 2.82
Ge 0.5000 0.0000 0.8778  5 Rh 2.40-2.44
Ge 0.0000 0.5000 0.1222  5 Rh 2.40-2.44
Rh 0.5000 0.5000 0.0000  4 Ge 2.44
Rh 0.0000 0.0000 0.0000  4 Ge 2.44
Rh 0.5000 0.0000 0.6686  1 Ge 2.40
Rh 0.0000 0.5000 0.3314  1 Ge 2.40
Au 0.5000 0.5000 0.5000  4 Rh 2.78, 4 Ge 2.82

Computed properties:
Formation energy from the elements, eV per atom: -0.6733

# 2
Here is crystalline TlCuPb2 at its relaxed geometry from Alexandria via LeMat-Bulk. Energies are from GGA-PBE.

a b c (Å): 6.4145 6.4145 3.4894
angles (deg): 75.14 75.14 118.36
Last column: nearest neighbours and their distance in Å.
Sites, in units of the cell vectors:
Cu 0.0000 0.5000 0.5000  4 Pb 3.23, 4 Tl 3.29-3.39, 2 Cu 3.49
Pb 0.0000 0.0000 0.0000  2 Cu 3.23, 2 Tl 3.23, 6 Pb 3.29-3.49
Pb 0.5000 0.5000 0.0000  2 Tl 3.23, 2 Cu 3.23, 6 Pb 3.29-3.49
Tl 0.5000 0.0000 0.5000  4 Pb 3.23, 4 Cu 3.29-3.39, 2 Tl 3.49

Computed properties:
Formation energy from the elements, eV per atom: 0.3188

# 3
Here is crystalline Pr2SmDy6Er at its relaxed geometry from Alexandria via LeMat-Bulk. Energies are from GGA-PBE.

a b c (Å): 9.7524 8.7911 8.7911
angles (deg): 118.01 94.63 94.63
Last column: nearest neighbours and their distance in Å.
Sites, in units of the cell vectors:
Pr 0.4576 0.8056 0.7040  5 Dy 3.28-3.56, 2 Sm 3.37-3.39, 1 Er 3.56
Pr 0.0424 0.2960 0.1944  5 Dy 3.28-3.56, 2 Sm 3.37-3.39, 1 Er 3.56
Pr 0.5424 0.1944 0.2960  5 Dy 3.28-3.56, 2 Sm 3.37-3.39, 1 Er 3.56
Pr 0.9576 0.7040 0.8056  5 Dy 3.28-3.56, 2 Sm 3.37-3.39, 1 Er 3.56
Sm 0.2500 0.9829 0.0171  4 Pr 3.37-3.39, 4 Dy 3.61-3.66
Sm 0.7500 0.0171 0.9829  4 Pr 3.37-3.39, 4 Dy 3.61-3.66
Dy 0.0573 0.1232 0.7410  8 Dy 3.42-3.77, 1 Pr 3.56, 1 Sm 3.66, 1 Er 3.76
Dy 0.4427 0.2590 0.8768  8 Dy 3.42-3.77, 1 Pr 3.56, 1 Sm 3.66, 1 Er 3.76
Dy 0.9427 0.8768 0.2590  8 Dy 3.42-3.77, 1 Pr 3.56, 1 Sm 3.66, 1 Er 3.76
Dy 0.5573 0.7410 0.1232  8 Dy 3.42-3.77, 1 Pr 3.56, 1 Sm 3.66, 1 Er 3.76
Dy 0.3125 0.9799 0.4260  2 Dy 3.24-3.59, 1 Pr 3.41, 1 Er 3.46, 1 Sm 3.61
Dy 0.1875 0.5740 0.0201  2 Dy 3.24-3.59, 1 Pr 3.41, 1 Er 3.46, 1 Sm 3.61
Dy 0.6875 0.0201 0.5740  2 Dy 3.24-3.59, 1 Pr 3.41, 1 Er 3.46, 1 Sm 3.61
Dy 0.8125 0.4260 0.9799  2 Dy 3.24-3.59, 1 Pr 3.41, 1 Er 3.46, 1 Sm 3.61
Dy 0.1191 0.7051 0.4932  4 Dy 3.24-3.50, 3 Pr 3.28-3.48, 2 Er 3.44-3.58
Dy 0.3809 0.5068 0.2949  4 Dy 3.24-3.50, 3 Pr 3.28-3.48, 2 Er 3.44-3.58
Dy 0.8809 0.2949 0.5068  4 Dy 3.24-3.50, 3 Pr 3.28-3.48, 2 Er 3.44-3.58
Dy 0.6191 0.4932 0.7051  4 Dy 3.24-3.50, 3 Pr 3.28-3.48, 2 Er 3.44-3.58
Er 0.2500 0.4069 0.5931  8 Dy 3.44-3.76, 2 Pr 3.56
Er 0.7500 0.5931 0.4069  8 Dy 3.44-3.76, 2 Pr 3.56

Computed properties:
Formation energy from the elements, eV per atom: 0.1165

# 4
Here is crystalline Pr4HgSbSe2 at its relaxed geometry from Alexandria via LeMat-Bulk. Energies are from GGA-PBE.

a b c (Å): 4.3543 7.7833 7.4936
angles (deg): 71.18 90.00 90.00
Last column: nearest neighbours and their distance in Å.
Sites, in units of the cell vectors:
Pr 0.0000 0.7637 0.7477  3 Se 3.03-3.06, 2 Sb 3.17, 1 Hg 3.18
Pr 0.0000 0.2363 0.2523  3 Se 3.03-3.06, 2 Sb 3.17, 1 Hg 3.18
Pr 0.5000 0.7677 0.2427  3 Se 3.03-3.04, 1 Sb 3.18, 2 Hg 3.19
Pr 0.5000 0.2323 0.7573  3 Se 3.03-3.04, 1 Sb 3.18, 2 Hg 3.19
Hg 0.0000 0.5000 0.5000  6 Pr 3.18-3.19
Sb 0.5000 0.5000 0.0000  6 Pr 3.17-3.18
Se 0.0000 0.0000 0.0000  6 Pr 3.03
Se 0.5000 0.0000 0.5000  6 Pr 3.04-3.06

Computed properties:
E_form (uncorrected), meV per atom: -1313

# 5
Here is crystalline MnAlTl at its relaxed geometry from Alexandria via LeMat-Bulk. Energies are from GGA-PBE.

a b c (Å): 4.6691 4.6691 3.1413
angles (deg): 90.00 90.00 120.00
Last column: nearest neighbours and their distance in Å.
Sites, in units of the cell vectors:
Tl 0.3333 0.6667 0.6876  3 Al 2.86, 3 Mn 2.94, 2 Tl 3.14
Mn 0.6667 0.3333 0.3171  3 Al 2.88, 3 Tl 2.94, 2 Mn 3.14
Al 0.0000 0.0000 0.9953  3 Tl 2.86, 3 Mn 2.88, 2 Al 3.14

Computed properties:
Offset from the most stable computed form, meV/atom: 177
Formation energy from the elements, eV per atom: 0.4639

# 6
Here is crystalline TlFeBPb2 at its relaxed geometry from Alexandria via LeMat-Bulk. Energies are from GGA-PBE.

a b c (Å): 4.9530 4.9834 4.9530
angles (deg): 90.00 90.00 90.00
Last column: nearest neighbours and their distance in Å.
Sites, in units of the cell vectors:
Pb 0.0000 0.0000 0.5000  2 B 2.48
Pb 0.5000 0.0000 0.0000  2 B 2.48
Tl 0.0000 0.5000 0.0000  2 B 2.49
B 0.0000 0.0000 0.0000  4 Pb 2.48, 2 Tl 2.49
Fe 0.5000 0.5000 0.5000  4 Tl 3.50, 8 Pb 3.51

Computed properties:
Formation energy from the elements, eV per atom: 1.1289

# 7
Here is crystalline CsAl4Ge2 at its relaxed geometry from Alexandria via LeMat-Bulk. Energies are from GGA-PBE.

a b c (Å): 4.1037 8.7526 8.7526
angles (deg): 90.00 90.00 90.00
Last column: nearest neighbours and their distance in Å.
Sites, in units of the cell vectors:
Cs 0.5000 0.0000 0.0000  6 Ge 3.36-3.50, 8 Al 3.71
Cs 0.0000 0.5000 0.5000  6 Ge 3.36-3.50, 8 Al 3.71
Al 0.0000 0.0675 0.3468  3 Ge 2.79-2.80, 5 Al 2.92-2.93
Al 0.0000 0.9325 0.6532  3 Ge 2.79-2.80, 5 Al 2.92-2.93
Al 0.5000 0.1532 0.5675  3 Ge 2.79-2.80, 5 Al 2.92-2.93
Al 0.5000 0.8468 0.4325  3 Ge 2.79-2.80, 5 Al 2.92-2.93
Al 0.5000 0.4325 0.8468  3 Ge 2.79-2.80, 5 Al 2.92-2.93
Al 0.5000 0.5675 0.1532  3 Ge 2.79-2.80, 5 Al 2.92-2.93
Al 0.0000 0.3468 0.0675  3 Ge 2.79-2.80, 5 Al 2.92-2.93
Al 0.0000 0.6532 0.9325  3 Ge 2.79-2.80, 5 Al 2.92-2.93
Ge 0.0000 0.2290 0.7710  6 Al 2.79-2.80
Ge 0.0000 0.7710 0.2290  6 Al 2.79-2.80
Ge 0.5000 0.7290 0.7290  6 Al 2.79-2.80
Ge 0.5000 0.2710 0.2710  6 Al 2.79-2.80

Computed properties:
Formation energy from the elements, eV per atom: 0.1099

# 8
Here is crystalline MgMnBr at its relaxed geometry from Alexandria via LeMat-Bulk. Energies are from GGA-PBE.

a b c (Å): 4.7337 4.7337 4.7337
angles (deg): 60.00 60.00 60.00
Last column: nearest neighbours and their distance in Å.
Sites, in units of the cell vectors:
Br 0.0000 0.0000 0.0000  4 Mn 2.90
Mg 0.5000 0.5000 0.5000  4 Mn 2.90
Mn 0.7500 0.7500 0.7500  4 Mg 2.90, 4 Br 2.90

Computed properties:
E_form (uncorrected), meV per atom: 487
Offset from the most stable computed form, meV/atom: 530

# 9
Here is crystalline Na2Ga2Br at its relaxed geometry from Alexandria via LeMat-Bulk. Energies are from GGA-PBE.

a b c (Å): 4.5354 4.5354 7.5898
angles (deg): 72.62 72.62 90.00
Last column: nearest neighbours and their distance in Å.
Sites, in units of the cell vectors:
Na 0.7500 0.2500 0.5000  4 Ga 3.17, 4 Na 3.21
Na 0.2500 0.7500 0.5000  4 Ga 3.17, 4 Na 3.21
Ga 0.4109 0.4109 0.1782  1 Ga 2.45
Ga 0.5891 0.5891 0.8218  1 Ga 2.45
Br 0.0000 0.0000 0.0000  8 Ga 3.43

Computed properties:
E_form (uncorrected), meV per atom: -60
Offset from the most stable computed form, meV/atom: 126

# 10
Here is crystalline CdHgSe2 at its relaxed geometry from Alexandria via LeMat-Bulk. Energies are from GGA-PBE.

a b c (Å): 6.5041 6.5041 6.5041
angles (deg): 141.78 141.17 55.63
Last column: nearest neighbours and their distance in Å.
Sites, in units of the cell vectors:
Cd 0.7500 0.2500 0.5000  4 Se 2.84, 4 Hg 3.03
Hg 0.2500 0.7500 0.5000  4 Se 2.86, 4 Cd 3.03
Se 0.9129 0.9129 0.0000  2 Cd 2.84, 2 Hg 2.86
Se 0.5871 0.5871 0.0000  2 Cd 2.84, 2 Hg 2.86

Computed properties:
E_form (uncorrected), meV per atom: 51
Offset from the most stable computed form, meV/atom: 468

| no. | raw total energy (eV/atom) |
| --- | --- |
| 1 | -7.23 |
| 2 | -3.15 |
| 3 | -4.53 |
| 4 | -5.13 |
| 5 | -4.63 |
| 6 | -3.86 |
| 7 | -3.47 |
| 8 | -3.66 |
| 9 | -2.13 |
| 10 | -2.00 |